# 1
## Li3TmSb2 (PBE-GGA)

Data for a geometry-optimized Li3TmSb2 structure.

Lattice parameters (Å, degrees): 4.4862 7.2668 8.2361 90.00 90.00 90.00
Fractional positions:
1 Li 0.0000 0.4906 0.9157
2 Li 0.0000 0.9906 0.0843
3 Li 0.5000 0.1439 0.8412
4 Li 0.0000 0.8534 0.6938
5 Li 0.0000 0.3534 0.3062
6 Li 0.5000 0.6439 0.1588
7 Sb 0.0000 0.2402 0.6377
8 Sb 0.0000 0.7402 0.3623
9 Sb 0.5000 0.2550 0.1591
10 Sb 0.5000 0.7550 0.8409
11 Tm 0.5000 0.0168 0.4529
12 Tm 0.5000 0.5168 0.5471

Energy relative to the elements, uncorrected   -72 kJ per mole of atoms
E   -3.823 eV/atom
Mass density   5.359 g/cm³

# 2
## PW2Se (PBE-GGA)

Data for a geometry-optimized PW2Se structure.

Lattice parameters (Å, degrees): 4.5070 4.5070 5.0501 75.24 75.24 41.29
Fractional positions:
1 W 0.9941 0.9941 0.0083
2 W 0.7716 0.7716 0.6216
3 P 0.4863 0.4863 0.6464
4 Se 0.2480 0.2480 0.2236

Energy relative to the elements, uncorrected   3 kJ per mole of atoms
E   -8.670 eV/atom
Distance to the lowest polymorph of the same formula   0.00 eV per formula unit
Mass density   12.176 g/cm³

# 3
## LiInNi2 (PBE-GGA)

Data for a geometry-optimized LiInNi2 structure.

Lattice parameters (Å, degrees): 3.8647 3.8660 3.6399 90.00 90.00 90.00
Fractional positions:
1 Li 0.0000 0.5000 0.5000
2 Ni 0.5000 0.5000 0.0000
3 Ni 0.0000 0.0000 0.0000
4 In 0.5000 0.0000 0.5000

E   -4.165 eV/atom
Energy of formation from the pure elements   -111 meV/atom
Mass density   7.302 g/cm³